(1)
Mn3CuRu PBE optimized geometry; raw total energy = -6.8836 eV per atom; DOS(E_F) = 1.2408 states/eV per atom; formation enthalpy at 0 K = 1.29 eV per atom
1.0
-3.433 -2.148 2.368
1.876 -4.167 -1.060
2.589 0.171 3.909
Ru Mn Cu
1 3 1
direct
0.000 0.000 0.000
0.000 0.000 0.500
0.500 0.000 0.000
0.000 0.500 0.000
0.500 0.500 0.500

***

(2)
SmErTh4 PBE optimized geometry; raw total energy = -6.2189 eV per atom; DOS(E_F) = 1.8751 states/eV per atom; formation enthalpy at 0 K = 0.27 eV per atom
1.0
-5.612 -1.554 3.169
-2.165 -6.266 0.028
0.226 -3.561 5.588
Th Er Sm
4 1 1
direct
0.125 0.625 0.625
0.625 0.625 0.625
0.625 0.125 0.625
0.625 0.625 0.125
0.000 0.000 0.000
0.250 0.250 0.250

***

(3)
ErTmAlTl PBE optimized geometry; raw total energy = -4.1248 eV per atom; DOS(E_F) = 0.3707 states/eV per atom; formation enthalpy at 0 K = -0.34 eV per atom
1.0
-1.505 1.027 3.072
-2.847 -2.036 -0.714
3.360 -5.976 3.644
Tm Al Er Tl
1 1 1 1
direct
0.000 0.000 0.373
0.500 0.500 0.606
0.000 0.000 0.841
0.500 0.500 0.109

***

(4)
MnCo2Cu PBE optimized geometry; raw total energy = -6.7231 eV per atom; DOS(E_F) = 1.3417 states/eV per atom; formation enthalpy at 0 K = 0.15 eV per atom
1.0
-2.719 -2.291 2.545
1.919 -0.833 3.840
-0.533 3.704 -2.261
Mn Co Cu
1 2 1
direct
0.750 0.250 0.500
0.000 0.000 0.000
0.500 0.500 0.000
0.250 0.750 0.500

***

(5)
Na2LiPuO6 PBE optimized geometry; raw formation energy = -1718.1 kJ/mol of formula units; raw total energy = -6.6440 eV per atom; DOS(E_F) = 1.0323 states/eV per atom
1.0
-1.832 -4.581 2.668
2.071 -3.262 -4.178
6.939 -0.443 3.786
Li O Pu Na
2 12 2 4
direct
0.500 0.000 0.500
0.000 0.500 0.000
0.778 0.803 0.959
0.587 0.029 0.238
0.690 0.277 0.951
0.310 0.723 0.049
0.913 0.529 0.262
0.222 0.197 0.041
0.722 0.303 0.541
0.810 0.777 0.549
0.413 0.971 0.762
0.087 0.471 0.738
0.278 0.697 0.459
0.190 0.223 0.451
0.000 0.500 0.500
0.500 0.000 0.000
0.510 0.541 0.747
0.490 0.459 0.253
0.010 0.959 0.247
0.990 0.041 0.753

***

(6)
SrPmNi4 PBE optimized geometry; raw total energy = -5.0780 eV per atom; DOS(E_F) = 1.0684 states/eV per atom; formation enthalpy at 0 K = -0.15 eV per atom
1.0
5.197 0.000 0.000
2.598 4.500 0.000
2.598 1.500 4.243
Ni Pm Sr
4 1 1
direct
0.626 0.123 0.626
0.123 0.626 0.626
0.626 0.626 0.626
0.626 0.626 0.123
0.000 0.000 0.000
0.250 0.250 0.250